No. 1
# SmThSc2Bi4 | the Alexandria database | PBE | relaxed
# VASP energy ... -5.748 eV per atom
# Magnetic moment ... 0.0 μB per cell
data_SmThSc2Bi4
_cell_length_a 7.621
_cell_length_b 4.444
_cell_length_c 7.681
_cell_angle_alpha 90.00
_cell_angle_beta 109.62
_cell_angle_gamma 90.00
_space_group_name_H-M_alt 'P 1 2/m 1'
_space_group_IT_number 10
_space_group_name_Hall '-P 2y'
loop_
_atom_site_label
_atom_site_fract_x
_atom_site_fract_y
_atom_site_fract_z
Sm1 0.000 0.000 0.000
Th1 0.000 0.500 0.500
Sc1 0.500 0.000 0.500
Sc2 0.500 0.500 0.000
Bi1 0.271 0.500 0.256
Bi2 0.273 0.000 0.760

=====

No. 2
# SmScTlBi | the Alexandria database | PBE | relaxed
# VASP energy ... -4.680 eV per atom
# Magnetic moment ... 0.0 μB per cell
data_SmScTlBi
_cell_length_a 7.598
_cell_length_b 7.598
_cell_length_c 7.598
_cell_angle_alpha 90.00
_cell_angle_beta 90.00
_cell_angle_gamma 90.00
_space_group_name_H-M_alt 'F -4 3 m'
_space_group_IT_number 216
_space_group_name_Hall 'F -4 2 3'
loop_
_atom_site_label
_atom_site_fract_x
_atom_site_fract_y
_atom_site_fract_z
Sm1 0.000 0.000 0.000
Sc1 0.000 0.000 0.500
Tl1 0.250 0.250 0.750
Bi1 0.250 0.250 0.250

=====

No. 3
# SmTmSc2Bi4 | the Alexandria database | PBE | relaxed
# VASP energy ... -5.421 eV per atom
# Magnetic moment ... 0.0 μB per cell
data_SmTmSc2Bi4
_cell_length_a 7.587
_cell_length_b 4.386
_cell_length_c 7.595
_cell_angle_alpha 90.00
_cell_angle_beta 109.50
_cell_angle_gamma 90.00
_space_group_name_H-M_alt 'P 1 2/m 1'
_space_group_IT_number 10
_space_group_name_Hall '-P 2y'
loop_
_atom_site_label
_atom_site_fract_x
_atom_site_fract_y
_atom_site_fract_z
Sm1 0.000 0.000 0.000
Tm1 0.000 0.500 0.500
Sc1 0.500 0.000 0.500
Sc2 0.500 0.500 0.000
Bi1 0.264 0.000 0.751
Bi2 0.267 0.500 0.260

=====

No. 4
# SmTm2Sc3Bi6 | the Alexandria database | PBE | relaxed
# VASP energy ... -5.401 eV per atom
# Magnetic moment ... 0.0 μB per cell
data_SmTm2Sc3Bi6
_cell_length_a 7.574
_cell_length_b 13.126
_cell_length_c 7.568
_cell_angle_alpha 90.00
_cell_angle_beta 109.50
_cell_angle_gamma 90.00
_space_group_name_H-M_alt 'C 1 2/m 1'
_space_group_IT_number 12
_space_group_name_Hall '-C 2y'
loop_
_atom_site_label
_atom_site_fract_x
_atom_site_fract_y
_atom_site_fract_z
Sm1 0.000 0.000 0.000
Tm1 0.000 0.332 0.000
Sc1 0.000 0.164 0.500
Sc2 0.000 0.500 0.500
Bi1 0.242 0.331 0.735
Bi2 0.248 0.500 0.263

=====

No. 5
# SmTm2ScBi4 | the Alexandria database | PBE | relaxed
# VASP energy ... -5.211 eV per atom
# Magnetic moment ... 0.0 μB per cell
data_SmTm2ScBi4
_cell_length_a 7.667
_cell_length_b 4.432
_cell_length_c 7.673
_cell_angle_alpha 90.00
_cell_angle_beta 109.48
_cell_angle_gamma 90.00
_space_group_name_H-M_alt 'P 1 2/m 1'
_space_group_IT_number 10
_space_group_name_Hall '-P 2y'
loop_
_atom_site_label
_atom_site_fract_x
_atom_site_fract_y
_atom_site_fract_z
Sm1 0.000 0.000 0.000
Tm1 0.000 0.500 0.500
Tm2 0.500 0.000 0.500
Sc1 0.500 0.500 0.000
Bi1 0.260 0.000 0.754
Bi2 0.260 0.500 0.252

=====

No. 6
# Sm2Tm3ScBi6 | the Alexandria database | PBE | relaxed
# VASP energy ... -5.171 eV per atom
# Magnetic moment ... 0.0 μB per cell
data_Sm2Tm3ScBi6
_cell_length_a 19.388
_cell_length_b 4.454
_cell_length_c 8.904
_cell_angle_alpha 90.00
_cell_angle_beta 103.28
_cell_angle_gamma 90.00
_space_group_name_H-M_alt 'C 1 2/m 1'
_space_group_IT_number 12
_space_group_name_Hall '-C 2y'
loop_
_atom_site_label
_atom_site_fract_x
_atom_site_fract_y
_atom_site_fract_z
Sm1 0.165 0.000 0.332
Tm1 0.000 0.500 0.500
Tm2 0.170 0.000 0.834
Sc1 0.000 0.500 0.000
Bi1 0.004 0.000 0.759
Bi2 0.163 0.500 0.075
Bi3 0.165 0.500 0.588

=====

No. 7
# Sm3Tm2ScBi6 | the Alexandria database | PBE | relaxed
# VASP energy ... -5.220 eV per atom
# Magnetic moment ... 0.0 μB per cell
data_Sm3Tm2ScBi6
_cell_length_a 19.467
_cell_length_b 4.473
_cell_length_c 8.936
_cell_angle_alpha 90.00
_cell_angle_beta 103.08
_cell_angle_gamma 90.00
_space_group_name_H-M_alt 'C 1 2/m 1'
_space_group_IT_number 12
_space_group_name_Hall '-C 2y'
loop_
_atom_site_label
_atom_site_fract_x
_atom_site_fract_y
_atom_site_fract_z
Sm1 0.000 0.000 0.000
Sm2 0.168 0.500 0.334
Tm1 0.166 0.500 0.833
Sc1 0.000 0.000 0.500
Bi1 0.001 0.500 0.737
Bi2 0.161 0.000 0.586
Bi3 0.169 0.000 0.078

=====

No. 8
# Sm2YScBi4 | the Alexandria database | PBE | relaxed
# VASP energy ... -5.560 eV per atom
# Magnetic moment ... 0.0 μB per cell
data_Sm2YScBi4
_cell_length_a 7.734
_cell_length_b 4.476
_cell_length_c 7.749
_cell_angle_alpha 90.00
_cell_angle_beta 109.51
_cell_angle_gamma 90.00
_space_group_name_H-M_alt 'P 1 2/m 1'
_space_group_IT_number 10
_space_group_name_Hall '-P 2y'
loop_
_atom_site_label
_atom_site_fract_x
_atom_site_fract_y
_atom_site_fract_z
Sm1 0.000 0.000 0.000
Sm2 0.000 0.500 0.500
Y1 0.500 0.000 0.500
Sc1 0.500 0.500 0.000
Bi1 0.260 0.500 0.247
Bi2 0.265 0.000 0.761

=====

No. 9
# ScSnBi2 | the Alexandria database | PBE | relaxed
# VASP energy ... -4.682 eV per atom
# Magnetic moment ... 0.0 μB per cell
data_ScSnBi2
_cell_length_a 3.4398
_cell_length_b 3.4398
_cell_length_c 34.5230
_cell_angle_alpha 90.00
_cell_angle_beta 90.00
_cell_angle_gamma 120.00
_space_group_name_H-M_alt 'R -3 m'
_space_group_IT_number 166
_space_group_name_Hall '-R 3 2"'
loop_
_atom_site_label
_atom_site_fract_x
_atom_site_fract_y
_atom_site_fract_z
Sc1 0.0000 0.0000 0.0000
Sn1 0.0000 0.0000 0.5000
Bi1 0.0000 0.0000 0.4045

=====

No. 10
# ScSnBi2 | the Alexandria database | PBE | relaxed
# VASP energy ... -4.748 eV per atom
# Magnetic moment ... 0.0 μB per cell
data_ScSnBi2
_cell_length_a 4.112
_cell_length_b 4.112
_cell_length_c 6.586
_cell_angle_alpha 90.00
_cell_angle_beta 90.00
_cell_angle_gamma 90.00
_space_group_name_H-M_alt 'P 4/m m m'
_space_group_IT_number 123
_space_group_name_Hall '-P 4 2'
loop_
_atom_site_label
_atom_site_fract_x
_atom_site_fract_y
_atom_site_fract_z
Sc1 0.000 0.000 0.000
Sn1 0.000 0.000 0.500
Bi1 0.500 0.500 0.235

=====

No. 11
# ScSnBi3 | the Alexandria database | PBE | relaxed
# Energy relative to the lowest polymorph listed for this composition ... 2.39 eV/f.u.
# Magnetic moment ... 0.0 μB per cell
data_ScSnBi3
_cell_length_a 5.736
_cell_length_b 5.736
_cell_length_c 5.736
_cell_angle_alpha 90.00
_cell_angle_beta 90.00
_cell_angle_gamma 90.00
_space_group_name_H-M_alt 'P m -3 m'
_space_group_IT_number 221
_space_group_name_Hall '-P 4 2 3'
loop_
_atom_site_label
_atom_site_fract_x
_atom_site_fract_y
_atom_site_fract_z
Sc1 0.000 0.000 0.000
Sn1 0.500 0.500 0.500
Bi1 0.000 0.500 0.500

=====

No. 12
# Sc4SnBi3 | the Alexandria database | PBE | relaxed
# VASP energy ... -5.714 eV per atom
# Magnetic moment ... 0.0 μB per cell
data_Sc4SnBi3
_cell_length_a 7.366
_cell_length_b 8.531
_cell_length_c 7.302
_cell_angle_alpha 90.00
_cell_angle_beta 109.72
_cell_angle_gamma 90.00
_space_group_name_H-M_alt 'P 1 2/c 1'
_space_group_IT_number 13
_space_group_name_Hall '-P 2yc'
loop_
_atom_site_label
_atom_site_fract_x
_atom_site_fract_y
_atom_site_fract_z
Sc1 0.245 0.123 0.000
Sc2 0.247 0.371 0.496
Sn1 0.000 0.124 0.250
Bi1 0.000 0.375 0.750
Bi2 0.500 0.125 0.750
Bi3 0.500 0.376 0.250

=====

No. 13
# ScSnBi | the Alexandria database | PBE | relaxed
# Energy relative to the lowest polymorph listed for this composition ... 0.00 eV/f.u.
# Magnetic moment ... 0.0 μB per cell
data_ScSnBi
_cell_length_a 3.901
_cell_length_b 3.901
_cell_length_c 10.100
_cell_angle_alpha 90.00
_cell_angle_beta 90.00
_cell_angle_gamma 90.00
_space_group_name_H-M_alt 'I 4 m m'
_space_group_IT_number 107
_space_group_name_Hall 'I 4 -2'
loop_
_atom_site_label
_atom_site_fract_x
_atom_site_fract_y
_atom_site_fract_z
Sc1 0.000 0.000 0.000
Sn1 0.000 0.000 0.656
Bi1 0.000 0.000 0.344

=====

No. 14
# Sc8SnBi2 | the Alexandria database | PBE | relaxed
# VASP energy ... -6.024 eV per atom
# Magnetic moment ... 0.1 μB per cell
data_Sc8SnBi2
_cell_length_a 17.437
_cell_length_b 4.931
_cell_length_c 6.250
_cell_angle_alpha 90.00
_cell_angle_beta 90.87
_cell_angle_gamma 90.00
_space_group_name_H-M_alt 'C 1 2/m 1'
_space_group_IT_number 12
_space_group_name_Hall '-C 2y'
loop_
_atom_site_label
_atom_site_fract_x
_atom_site_fract_y
_atom_site_fract_z
Sc1 0.038 0.000 0.244
Sc2 0.090 0.500 0.942
Sc3 0.161 0.500 0.399
Sc4 0.219 0.000 0.137
Sn1 0.000 0.500 0.500
Bi1 0.164 0.000 0.677

=====

No. 15
# Sc7Sn2Bi2 | the Alexandria database | PBE | relaxed
# VASP energy ... -5.677 eV per atom
# Magnetic moment ... 7.2 μB per cell
data_Sc7Sn2Bi2
_cell_length_a 8.390
_cell_length_b 10.362
_cell_length_c 6.908
_cell_angle_alpha 90.00
_cell_angle_beta 90.00
_cell_angle_gamma 90.00
_space_group_name_H-M_alt 'C m m m'
_space_group_IT_number 65
_space_group_name_Hall '-C 2 2'
loop_
_atom_site_label
_atom_site_fract_x
_atom_site_fract_y
_atom_site_fract_z
Sc1 0.000 0.000 0.000
Sc2 0.000 0.500 0.280
Sc3 0.250 0.250 0.287
Sn1 0.182 0.000 0.500
Bi1 0.000 0.283 0.000

=====

No. 16
# Sc4SnBi2 | the Alexandria database | PBE | relaxed
# Energy relative to the lowest polymorph listed for this composition ... 1.99 eV/f.u.
# Magnetic moment ... 0.0 μB per cell
data_Sc4SnBi2
_cell_length_a 5.223
_cell_length_b 5.223
_cell_length_c 15.485
_cell_angle_alpha 90.00
_cell_angle_beta 90.00
_cell_angle_gamma 90.00
_space_group_name_H-M_alt 'I 4/m m m'
_space_group_IT_number 139
_space_group_name_Hall '-I 4 2'
loop_
_atom_site_label
_atom_site_fract_x
_atom_site_fract_y
_atom_site_fract_z
Sc1 0.000 0.000 0.178
Sc2 0.000 0.500 0.000
Sn1 0.000 0.000 0.000
Bi1 0.000 0.000 0.366

=====

No. 17
# Sc6SnBi3 | the Alexandria database | PBE | relaxed
# VASP energy ... -5.785 eV per atom
# Magnetic moment ... 1.4 μB per cell
data_Sc6SnBi3
_cell_length_a 9.868
_cell_length_b 14.492
_cell_length_c 7.421
_cell_angle_alpha 90.00
_cell_angle_beta 90.00
_cell_angle_gamma 90.00
_space_group_name_H-M_alt 'C m c 21'
_space_group_IT_number 36
_space_group_name_Hall 'C 2c -2'
loop_
_atom_site_label
_atom_site_fract_x
_atom_site_fract_y
_atom_site_fract_z
Sc1 0.000 0.020 0.000
Sc2 0.000 0.262 0.121
Sc3 0.201 0.438 0.142
Sc4 0.207 0.281 0.492
Sn1 0.000 0.173 0.746
Bi1 0.000 0.430 0.440
Bi2 0.186 0.108 0.288

=====

No. 18
# ScSnBi | the Alexandria database | PBE | relaxed
# Energy relative to the lowest polymorph listed for this composition ... 0.01 eV/f.u.
# Magnetic moment ... 0.0 μB per cell
data_ScSnBi
_cell_length_a 4.374
_cell_length_b 6.219
_cell_length_c 6.423
_cell_angle_alpha 103.86
_cell_angle_beta 90.08
_cell_angle_gamma 110.48
_space_group_name_H-M_alt 'P -1'
_space_group_IT_number 2
_space_group_name_Hall '-P 1'
loop_
_atom_site_label
_atom_site_fract_x
_atom_site_fract_y
_atom_site_fract_z
Sc1 0.154 0.308 0.089
Sn1 0.203 0.405 0.613
Bi1 0.481 0.963 0.239

=====

No. 19
# Sc5Sn2Bi2 | the Alexandria database | PBE | relaxed
# VASP energy ... -5.954 eV per atom
# Magnetic moment ... 0.0 μB per cell
data_Sc5Sn2Bi2
_cell_length_a 14.781
_cell_length_b 7.790
_cell_length_c 7.794
_cell_angle_alpha 90.00
_cell_angle_beta 90.00
_cell_angle_gamma 90.00
_space_group_name_H-M_alt 'C m c e'
_space_group_IT_number 64
_space_group_name_Hall '-C 2ac 2'
loop_
_atom_site_label
_atom_site_fract_x
_atom_site_fract_y
_atom_site_fract_z
Sc1 0.000 0.000 0.000
Sc2 0.130 0.162 0.338
Sn1 0.000 0.141 0.639
Bi1 0.205 0.000 0.000

=====

No. 20
# ScSn3Bi | the Alexandria database | PBE | relaxed
# VASP energy ... -3.586 eV per atom
# Magnetic moment ... 0.5 μB per cell
data_ScSn3Bi
_cell_length_a 5.790
_cell_length_b 5.790
_cell_length_c 5.790
_cell_angle_alpha 90.00
_cell_angle_beta 90.00
_cell_angle_gamma 90.00
_space_group_name_H-M_alt 'P m -3 m'
_space_group_IT_number 221
_space_group_name_Hall '-P 4 2 3'
loop_
_atom_site_label
_atom_site_fract_x
_atom_site_fract_y
_atom_site_fract_z
Sc1 0.000 0.000 0.000
Sn1 0.000 0.500 0.500
Bi1 0.500 0.500 0.500